The following is a DFT calculation (GGA-PBE) of Nd5Er12Tm3 after structural relaxation.

Summary:
The density of states at the Fermi level comes out at 36.0 states/eV/f.u. The value obtained for the mass density is 6.638 g cm⁻³. The calculation puts the magnetic moment at 0.0 μB/cell. Its total energy is -3.571 eV/atom.

abc: 18.638 18.638 18.638
angles: 90.00 90.00 90.00
Space group Ia-3d (No. 230)
Inequivalent atoms, fractional coordinates:
Nd1 0.000 0.000 0.000 x16
Nd2 0.000 0.250 0.375 x24
Er1 0.004 0.081 0.648 x96
Tm1 0.000 0.250 0.125 x24